(1)
RbNaH2: optimized geometry, PBE.

For the energy, the calculation gives -2.390 eV/atom. The calculation puts the polymorph energy (0 for the lowest one) at 0.12 eV/f.u.

The structure belongs to space group I-42d (No. 122); the cell edges are 6.557, 6.557 and 8.097 Å and the angles 90.00°, 90.00° and 90.00°. The asymmetric unit holds Rb at (0.000, 0.000, 0.000), Na at (0.000, 0.000, 0.500) and H at (0.177, 0.250, 0.625).

=====

(2)
RbNa2H: optimized geometry, PBE.

For the energy, the calculation gives -1.601 eV/atom. The calculation puts the polymorph energy (0 for the lowest one) at 0.22 eV/f.u.

The structure belongs to space group R-3m (No. 166, hexagonal axes); the cell edges are 3.8759, 3.8759 and 32.4060 Å and the angles 90.00°, 90.00° and 120.00°. The asymmetric unit holds Rb at (0.0000, 0.0000, 0.0000), Na at (0.0000, 0.0000, 0.1225) and H at (0.0000, 0.0000, 0.5000).

=====

(3)
RbNa2H6: optimized geometry, PBE.

For the energy, the calculation gives -2.637 eV/atom. The calculation puts the polymorph energy (0 for the lowest one) at 0.00 eV/f.u.

The structure belongs to space group C2/c (No. 15); the cell edges are 14.128, 7.073 and 6.759 Å and the angles 90.00°, 102.51° and 90.00°. The asymmetric unit holds Rb at (0.000, 0.205, 0.250), Na at (0.237, 0.107, 0.825), H at (0.028, 0.362, 0.754), H at (0.169, 0.112, 0.098) and H at (0.226, 0.280, 0.498).

=====

(4)
RbNaH2: optimized geometry, PBE.

For the energy, the calculation gives -2.332 eV/atom. The calculation puts the polymorph energy (0 for the lowest one) at 0.35 eV/f.u.

The structure belongs to space group P4/mmm (No. 123); the cell edges are 3.921, 3.921 and 5.537 Å and the angles 90.00°, 90.00° and 90.00°. The asymmetric unit holds Rb at (0.000, 0.000, 0.000), Na at (0.500, 0.500, 0.500), H at (0.000, 0.000, 0.500) and H at (0.500, 0.500, 0.000).

=====

(5)
Rb2Na4H: optimized geometry, PBE.

For the energy, the calculation gives -1.438 eV/atom.

The structure belongs to space group I4/mmm (No. 139); the cell edges are 5.311, 5.311 and 22.323 Å and the angles 90.00°, 90.00° and 90.00°. The asymmetric unit holds Rb at (0.000, 0.000, 0.182), Na at (0.000, 0.000, 0.396), Na at (0.000, 0.500, 0.000) and H at (0.000, 0.000, 0.500).

=====

(6)
RbNaH: optimized geometry, PBE.

For the energy, the calculation gives -1.933 eV/atom. The calculation puts the polymorph energy (0 for the lowest one) at 0.06 eV/f.u.

The structure belongs to space group Ima2 (No. 46); the cell edges are 9.331, 20.294 and 6.644 Å and the angles 90.00°, 90.00° and 90.00°. The asymmetric unit holds Rb at (0.250, 0.017, 0.000), Rb at (0.250, 0.185, 0.478), Rb at (0.250, 0.679, 0.976), Na at (0.000, 0.000, 0.505), Na at (0.012, 0.179, 0.974), H at (0.029, 0.750, 0.225) and H at (0.250, 0.166, 0.980).

=====

(7)
RbNaH2: optimized geometry, PBE.

For the energy, the calculation gives -2.262 eV/atom. The calculation puts the polymorph energy (0 for the lowest one) at 0.63 eV/f.u.

The structure belongs to space group P4/mmm (No. 123); the cell edges are 3.282, 3.282 and 6.658 Å and the angles 90.00°, 90.00° and 90.00°. The asymmetric unit holds Rb at (0.000, 0.000, 0.000), Na at (0.000, 0.000, 0.500) and H at (0.500, 0.500, 0.275).

=====

(8)
Rb2NaH3: optimized geometry, PBE.

For the energy, the calculation gives -2.352 eV/atom. The calculation puts the polymorph energy (0 for the lowest one) at 0.05 eV/f.u.

The structure belongs to space group Cmcm (No. 63); the cell edges are 11.007, 7.572 and 6.464 Å and the angles 90.00°, 90.00° and 90.00°. The asymmetric unit holds Rb at (0.168, 0.167, 0.250), Na at (0.000, 0.408, 0.750), H at (0.000, 0.118, 0.750) and H at (0.148, 0.500, 0.000).

=====

(9)
RbNa3H4: optimized geometry, PBE.

For the energy, the calculation gives -2.390 eV/atom.

The structure belongs to space group Pm-3m (No. 221); the cell edges are 5.234, 5.234 and 5.234 Å and the angles 90.00°, 90.00° and 90.00°. The asymmetric unit holds Rb at (0.000, 0.000, 0.000), Na at (0.000, 0.500, 0.500), H at (0.000, 0.000, 0.500) and H at (0.500, 0.500, 0.500).

=====

(10)
Rb2NaH4: optimized geometry, PBE.

For the energy, the calculation gives -2.409 eV/atom.

The structure belongs to space group Pmmn (No. 59, origin choice 2); the cell edges are 6.168, 12.354 and 5.064 Å and the angles 90.00°, 90.00° and 90.00°. The asymmetric unit holds Rb at (0.250, 0.035, 0.249), Na at (0.250, 0.750, 0.747), H at (0.186, 0.750, 0.248) and H at (0.250, 0.577, 0.749).

=====

(11)
RbNaH2: optimized geometry, PBE.

For the energy, the calculation gives -2.420 eV/atom. The calculation puts the polymorph energy (0 for the lowest one) at 0.00 eV/f.u.

The structure belongs to space group P4/nmm (No. 129, origin choice 2); the cell edges are 4.362, 4.362 and 8.653 Å and the angles 90.00°, 90.00° and 90.00°. The asymmetric unit holds Rb at (0.250, 0.250, 0.177), Na at (0.250, 0.250, 0.584), H at (0.250, 0.250, 0.844) and H at (0.250, 0.750, 0.500).

=====

(12)
Rb2NaH3: optimized geometry, PBE.

For the energy, the calculation gives -2.361 eV/atom. The calculation puts the polymorph energy (0 for the lowest one) at 0.00 eV/f.u.

The structure belongs to space group C2/c (No. 15); the cell edges are 11.241, 7.433 and 6.792 Å and the angles 90.00°, 103.72° and 90.00°. The asymmetric unit holds Rb at (0.163, 0.163, 0.195), Na at (0.000, 0.408, 0.750), H at (0.000, 0.114, 0.750) and H at (0.147, 0.471, 0.489).

=====

(13)
RbNaRe2H: optimized geometry, PBE.

For the energy, the calculation gives -4.984 eV/atom.

The structure belongs to space group P4/mmm (No. 123); the cell edges are 3.854, 3.854 and 5.800 Å and the angles 90.00°, 90.00° and 90.00°. The asymmetric unit holds Rb at (0.000, 0.000, 0.000), Na at (0.500, 0.500, 0.000), Re at (0.000, 0.500, 0.500) and H at (0.000, 0.000, 0.500).

=====

(14)
Rb2NaH6Rh: optimized geometry, PBE.

For the energy, the calculation gives -3.407 eV/atom.

The structure belongs to space group P-3m1 (No. 164); the cell edges are 6.0339, 6.0339 and 5.5944 Å and the angles 90.00°, 90.00° and 120.00°. The asymmetric unit holds Rb at (0.3333, 0.6667, 0.3160), Na at (0.0000, 0.0000, 0.0000), H at (0.1329, 0.2658, 0.6717) and Rh at (0.0000, 0.0000, 0.5000).

=====

(15)
RbNa2H6Rh: optimized geometry, PBE.

For the energy, the calculation gives -3.414 eV/atom.

The structure belongs to space group P-3m1 (No. 164); the cell edges are 5.2775, 5.2775 and 6.9136 Å and the angles 90.00°, 90.00° and 120.00°. The asymmetric unit holds Rb at (0.0000, 0.0000, 0.0000), Na at (0.3333, 0.6667, 0.5712), H at (0.1467, 0.2935, 0.3542) and Rh at (0.0000, 0.0000, 0.5000).

=====

(16)
Rb2NaH6Ru: optimized geometry, PBE.

For the energy, the calculation gives -3.413 eV/atom.

The structure belongs to space group P-3m1 (No. 164); the cell edges are 6.0666, 6.0666 and 5.6802 Å and the angles 90.00°, 90.00° and 120.00°. The asymmetric unit holds Rb at (0.3333, 0.6667, 0.1824), Na at (0.0000, 0.0000, 0.5000), H at (0.1348, 0.2696, 0.8225) and Ru at (0.0000, 0.0000, 0.0000).

=====

(17)
RbNa2Sb2H2: optimized geometry, PBE.

For the energy, the calculation gives -2.776 eV/atom.

The structure belongs to space group C2/m (No. 12); the cell edges are 8.672, 5.640 and 8.935 Å and the angles 90.00°, 94.93° and 90.00°. The asymmetric unit holds Rb at (0.000, 0.000, 0.000), Na at (0.174, 0.500, 0.630), Sb at (0.186, 0.500, 0.272) and H at (0.005, 0.500, 0.166).

=====

(18)
Rb2NaSbH: optimized geometry, PBE.

For the energy, the calculation gives -2.335 eV/atom.

The structure belongs to space group P4/mmm (No. 123); the cell edges are 6.164, 6.164 and 4.361 Å and the angles 90.00°, 90.00° and 90.00°. The asymmetric unit holds Rb at (0.000, 0.500, 0.000), Na at (0.000, 0.000, 0.500), Sb at (0.500, 0.500, 0.500) and H at (0.000, 0.000, 0.000).

=====

(19)
Rb2NaSiH6: optimized geometry, PBE.

For the energy, the calculation gives -2.991 eV/atom.

The structure belongs to space group I4/mmm (No. 139); the cell edges are 5.961, 5.961 and 8.553 Å and the angles 90.00°, 90.00° and 90.00°. The asymmetric unit holds Rb at (0.000, 0.500, 0.250), Na at (0.000, 0.000, 0.000), Si at (0.000, 0.000, 0.500), H at (0.000, 0.000, 0.305) and H at (0.198, 0.198, 0.500).

=====

(20)
Rb2NaSiH: optimized geometry, PBE.

For the energy, the calculation gives -1.958 eV/atom.

The structure belongs to space group P4/mmm (No. 123); the cell edges are 7.144, 7.144 and 3.747 Å and the angles 90.00°, 90.00° and 90.00°. The asymmetric unit holds Rb at (0.000, 0.500, 0.000), Na at (0.000, 0.000, 0.500), Si at (0.500, 0.500, 0.000) and H at (0.500, 0.500, 0.500).